1.
# BPdPt

BPdPt after structural relaxation (PBE, Alexandria).

```
18
Lattice="-3.3694 -2.6845 1.4501 1.6260 -3.8788 -3.4025 5.8021 -3.5800 6.8538" Properties=species:S:1:pos:R:3 pbc="T T T"
B 2.3074 -2.2339 1.4225
B 2.5760 -5.9938 1.5063
B 4.3078 -7.2366 3.9337
B -2.8630 -3.5105 0.5900
B 0.4419 -4.8513 -0.6330
B 4.2435 -3.4285 3.7096
Pt 2.9168 -6.5423 5.4107
Pt 2.2410 -2.8916 3.4103
Pt 4.0153 -5.4130 2.9295
Pt -0.8953 -4.1901 0.9076
Pt -1.0806 -5.4595 -1.9369
Pt 2.0254 -4.1851 0.5788
Pd 0.2344 -1.5473 1.2025
Pd 0.9421 -6.7909 0.2639
Pd 0.0606 -2.8875 -1.5595
Pd 1.0579 -5.4971 3.0509
Pd 4.1565 -3.9672 5.8354
Pd 2.8222 -7.9510 2.4847
```

Its space group is No. 31.


2.
# B3PdPt

B3PdPt after structural relaxation (PBE, Alexandria).

```
5
Lattice="-1.8285 3.6427 -0.4421 -2.8916 -1.7345 -2.3320 -2.2590 -0.7283 3.3428" Properties=species:S:1:pos:R:3 pbc="T T T"
B -1.4458 -0.8673 -1.1660
B -1.1295 -0.3642 1.6714
B -0.9143 1.8213 -0.2210
Pt 0.0000 0.0000 0.0000
Pd -3.4896 0.5899 0.2844
```

For the energy above the most stable polymorph in this dataset, the calculation gives 0 meV/atom. Its space group is No. 221.


3.
# BPd2Pt

BPd2Pt after structural relaxation (PBE, Alexandria).

```
8
Lattice="-0.0184 0.9007 6.7642 -6.2768 -2.6560 0.3366 -2.2089 -3.0590 3.8434" Properties=species:S:1:pos:R:3 pbc="T T T"
Pd -4.4792 -2.2303 2.6317
Pd -1.3467 -0.6157 4.6155
Pd -4.5880 -3.1940 5.5759
Pd -6.5943 -3.5886 9.0651
Pt -2.6875 -1.5179 7.0790
Pt 0.0000 0.0000 0.0000
B -5.8166 -3.2963 3.8652
B -3.1476 -0.8776 3.5504
```

Its space group is No. 122.


4.
# B2Pd6Pt

B2Pd6Pt after structural relaxation (PBE, Alexandria).

```
18
Lattice="5.4577 0.4161 0.4028 2.1898 7.0391 0.5875 2.1898 0.8153 7.0164" Properties=species:S:1:pos:R:3 pbc="T T T"
Pd 1.9234 0.6811 1.2698
Pd 7.9138 7.5894 6.7369
Pd 7.0733 3.1591 3.6579
Pd 4.6947 7.2713 4.5036
Pd 2.4136 3.3256 0.6837
Pd 5.1849 6.7712 7.1657
Pd 2.7639 5.1114 4.3488
Pd 4.6523 1.4993 0.8410
Pd 5.4928 4.7202 5.1692
Pd 7.4236 4.9449 7.3230
Pd 5.1425 0.9992 3.5031
Pd 4.3444 3.5503 2.8375
Pt 6.2830 5.7980 2.4940
Pt 3.5542 2.4725 5.5128
B 6.0749 2.8149 1.7798
B 3.3461 1.6620 2.5544
B 6.4911 6.6085 5.4524
B 3.7623 5.4556 6.2269
```

Its space group is No. 15.


5.
# B3PdPt

B3PdPt after structural relaxation (PBE, Alexandria).

```
5
Lattice="-0.8808 -3.6424 -1.5264 3.9175 -1.0039 0.1349 -0.5001 -1.4484 3.7450" Properties=species:S:1:pos:R:3 pbc="T T T"
B -0.2501 -0.7242 1.8725
B 1.9588 -0.5019 0.0674
B -0.4404 -1.8212 -0.7632
Pd 0.0000 0.0000 0.0000
Pt 1.2683 -3.0474 1.1768
```

For the energy above the most stable polymorph in this dataset, the calculation gives 356 meV/atom. Its space group is No. 221.


6.
# BPdPt3

BPdPt3 after structural relaxation (PBE, Alexandria).

```
5
Lattice="2.7193 0.0036 -0.6948 -0.7037 4.7337 -2.7327 -0.0206 0.0035 5.5687" Properties=species:S:1:pos:R:3 pbc="T T T"
Pd 1.1098 3.0135 2.7943
Pt 0.3562 2.9646 0.0679
Pt 0.7161 0.5487 1.4622
Pt -0.0270 0.4763 4.2490
B 1.7131 1.3231 -0.2893
```

For the energy above the most stable polymorph in this dataset, the calculation gives 0 meV/atom. Its space group is No. 8.


7.
# B2PdPt

B2PdPt after structural relaxation (PBE, Alexandria).

```
8
Lattice="4.7990 0.0000 0.0000 0.0000 4.7990 0.0000 2.3995 2.3995 4.8042" Properties=species:S:1:pos:R:3 pbc="T T T"
Pd 2.3995 2.3995 0.0000
Pd 2.3995 4.7990 2.4021
B 3.5993 3.5554 3.6032
B 3.6432 1.1998 1.2011
B 1.1559 3.5993 1.2011
B 5.9988 6.0427 3.6032
Pt 4.7990 2.3995 2.4021
Pt 0.0000 0.0000 0.0000
```

For the energy above the most stable polymorph in this dataset, the calculation gives 0 meV/atom. Its space group is No. 122.


8.
# B2PdPt

B2PdPt after structural relaxation (PBE, Alexandria).

```
4
Lattice="0.0000 2.7971 2.7971 2.7971 0.0000 2.7971 2.7971 2.7971 0.0000" Properties=species:S:1:pos:R:3 pbc="T T T"
Pd 0.0000 0.0000 0.0000
B 1.3985 1.3985 1.3985
B 4.1956 4.1956 4.1956
Pt 2.7971 2.7971 2.7971
```

For the energy above the most stable polymorph in this dataset, the calculation gives 377 meV/atom. Its space group is No. 225.


9.
# BPd2Pt

BPd2Pt after structural relaxation (PBE, Alexandria).

```
4
Lattice="-1.4809 0.0898 -2.5194 -0.6346 -2.4804 -1.4119 -6.9825 -1.2814 2.3620" Properties=species:S:1:pos:R:3 pbc="T T T"
Pd -2.7170 -0.9522 -0.1335
Pd -6.3809 -2.7198 -1.4359
Pt 0.0000 0.0000 0.0000
B -4.5490 -1.8360 -0.7847
```

Its space group is No. 166.


10.
# B2PdPt2

B2PdPt2 after structural relaxation (PBE, Alexandria).

```
10
Lattice="-5.1077 1.7172 2.3165 2.5946 -4.8885 1.9426 4.6116 2.7052 0.6837" Properties=species:S:1:pos:R:3 pbc="T T T"
Pd 4.5188 -1.3194 2.3617
Pd 0.0796 -1.2828 2.4656
Pt -2.3810 0.8544 2.5415
Pt 2.0188 0.7681 2.5045
Pt -0.5705 3.1042 2.5721
Pt 2.6426 -3.5280 2.3867
B -0.1304 1.0025 2.6195
B 3.2439 2.3465 1.6705
B 2.2571 -1.4229 2.2631
B -1.1860 -2.8537 3.3287
```

For the energy above the most stable polymorph in this dataset, the calculation gives 0 meV/atom. Its space group is No. 9.


11.
# B2PdPt8

B2PdPt8 after structural relaxation (PBE, Alexandria).

```
11
Lattice="1.0682 -7.6529 2.0891 2.5718 -8.5296 -1.8896 7.4977 -2.8425 1.0893" Properties=species:S:1:pos:R:3 pbc="T T T"
Pt 6.4987 -9.2554 -0.2468
Pt 1.4985 -5.7917 -0.5264
Pt 5.5493 -11.7966 -0.0449
Pt 7.1268 -13.7592 0.9844
Pt 4.0108 -5.2658 0.3044
Pt 5.5883 -7.2284 1.3337
Pt 2.1415 -10.3908 0.7259
Pt 4.6389 -9.7696 1.5356
B 2.5932 -3.9655 -0.5167
B 7.4763 -7.4067 -0.2836
Pd 0.5341 -3.8264 1.0446
```

Its space group is No. 71.


12.
# BPd2Pt

BPd2Pt after structural relaxation (PBE, Alexandria).

```
4
Lattice="2.8313 -0.0005 -0.0010 1.4116 4.6111 0.2008 1.4123 1.8124 4.2444" Properties=species:S:1:pos:R:3 pbc="T T T"
Pd 2.8211 5.8365 4.3232
Pd 2.8306 3.5323 2.7285
Pt 1.4138 1.4914 1.2762
B 4.2413 5.1976 2.7834
```

Its space group is No. 44.


In order of appearance, theoretical density = 13089; 8047; 12481; 11113; 8370; 16279; 9699; 12259; 12886; 13798; 12059; 12784 kg/m3.
In order of appearance, calculated formation energy = -0.88; 5.53; -0.04; -0.64; 7.31; -0.84; 0.64; 2.15; -0.39; -1.06; 3.24; -0.90 eV per formula unit.